A plane-wave DFT calculation with GGA-PBE was carried out for Ti6Nb2Tc after structural relaxation.

The space group is Cmmm (No. 65) and the conventional cell measures 6.1757, 11.6982 and 4.3860 Å, with angles of 90.00, 90.00 and 90.00 degrees. Symmetry generates all atoms from Ti at (0.2147, 0.1411, 0.0000), Ti at (0.2316, 0.0000, 0.5000), Nb at (0.0000, 0.2780, 0.5000) and Tc at (0.0000, 0.5000, 0.0000).



A plane-wave DFT calculation with GGA-PBE was carried out for TiNb3Tc4 after structural relaxation.

The space group is Pmmm (No. 47) and the conventional cell measures 3.1747, 4.4862 and 8.9612 Å, with angles of 90.00, 90.00 and 90.00 degrees. Symmetry generates all atoms from Ti at (0.0000, 0.0000, 0.0000), Nb at (0.0000, 0.0000, 0.5000), Nb at (0.0000, 0.5000, 0.2453), Tc at (0.5000, 0.0000, 0.2484), Tc at (0.5000, 0.5000, 0.0000) and Tc at (0.5000, 0.5000, 0.5000).



A plane-wave DFT calculation with GGA-PBE was carried out for Ti4NbTc after structural relaxation.

The space group is C2/m (No. 12) and the conventional cell measures 7.4993, 4.3215 and 7.5124 Å, with angles of 90.00, 109.43 and 90.00 degrees. Symmetry generates all atoms from Ti at (0.1215, 0.0000, 0.3637), Ti at (0.1275, 0.5000, 0.8828), Nb at (0.0000, 0.5000, 0.5000) and Tc at (0.0000, 0.0000, 0.0000).



Theoretical density list, top to bottom, in kg/m³: 5985, 9349, 5531
Formation enthalpy at 0 K list, top to bottom, in eV per formula unit: 1.38, -3.27, 2.48